No. 1
The following is a meta-GGA SCAN calculation of Ba2ReAu at its PBEsol-relaxed geometry, from the Alexandria database.

Calculated values
E_tot in eV per atom: -54.410
ΔE to the lowest computed polymorph in eV/f.u.: 0.00
Density in g cm⁻³: 8.87
V in Å³ per cell: 246.4
Formation enthalpy at 0 K in kJ/mol of formula units: 166

Lattice parameters (Å, degrees): 4.4862 5.2630 10.4376 90.00 90.00 90.00
Space group Imm2 (No. 44)
One atom of each set of equivalent atoms:
Ba 0.0000 0.0000 0.0000 (multiplicity 2)
Ba 0.0000 0.5000 0.2099 (multiplicity 2)
Re 0.0000 0.5000 0.8223 (multiplicity 2)
Au 0.0000 0.0000 0.4216 (multiplicity 2)

=====

No. 2
The following is a meta-GGA SCAN calculation of BaRh2Au at its PBEsol-relaxed geometry, from the Alexandria database.

Calculated values
E_tot in eV per atom: -43.736
Density in g cm⁻³: 11.57
V in Å³ per cell: 155.0
Formation enthalpy at 0 K in kJ/mol of formula units: 126

Lattice parameters (Å, degrees): 4.2711 4.2711 8.4973 90.00 90.00 90.00
Space group I-4m2 (No. 119)
One atom of each set of equivalent atoms:
Ba 0.0000 0.0000 0.0000 (multiplicity 2)
Rh 0.0000 0.0000 0.5000 (multiplicity 2)
Rh 0.0000 0.5000 0.2500 (multiplicity 2)
Au 0.0000 0.5000 0.7500 (multiplicity 2)

=====

No. 3
The following is a meta-GGA SCAN calculation of BaRh2Au at its PBEsol-relaxed geometry, from the Alexandria database.

Calculated values
E_tot in eV per atom: -43.824
Density in g cm⁻³: 10.98
V in Å³ per cell: 81.7
Formation enthalpy at 0 K in kJ/mol of formula units: 92

Lattice parameters (Å, degrees): 3.0463 4.6146 5.8820 90.00 98.90 90.00
Space group P2/m (No. 10)
One atom of each set of equivalent atoms:
Ba 0.0000 0.0000 0.0000 (multiplicity 1)
Rh 0.2967 0.5000 0.6806 (multiplicity 2)
Au 0.5000 0.0000 0.5000 (multiplicity 1)

=====

No. 4
The following is a meta-GGA SCAN calculation of Ba2RuAu at its PBEsol-relaxed geometry, from the Alexandria database.

Calculated values
E_tot in eV per atom: -45.490
Density in g cm⁻³: 9.04
V in Å³ per cell: 210.5
Formation enthalpy at 0 K in kJ/mol of formula units: 108

Lattice parameters (Å, degrees): 4.5917 4.5917 9.9831 90.00 90.00 90.00
Space group I-4m2 (No. 119)
One atom of each set of equivalent atoms:
Ba 0.0000 0.0000 0.0000 (multiplicity 2)
Ba 0.0000 0.5000 0.2500 (multiplicity 2)
Ru 0.0000 0.0000 0.5000 (multiplicity 2)
Au 0.0000 0.5000 0.7500 (multiplicity 2)

=====

No. 5
The following is a meta-GGA SCAN calculation of BaRuAu4 at its PBEsol-relaxed geometry, from the Alexandria database.

Calculated values
E_tot in eV per atom: -58.389
Density in g cm⁻³: 14.03
V in Å³ per cell: 485.9
Formation enthalpy at 0 K in kJ/mol of formula units: 64

Lattice parameters (Å, degrees): 7.8616 7.8616 7.8616 90.00 90.00 90.00
Space group F-43m (No. 216)
One atom of each set of equivalent atoms:
Ba 0.0000 0.0000 0.0000 (multiplicity 4)
Ru 0.2500 0.2500 0.7500 (multiplicity 4)
Au 0.1241 0.1241 0.3759 (multiplicity 16)

=====

No. 6
The following is a meta-GGA SCAN calculation of Ba2RuAu at its PBEsol-relaxed geometry, from the Alexandria database.

Calculated values
E_tot in eV per atom: -45.583
Density in g cm⁻³: 7.70
V in Å³ per cell: 123.4
Formation enthalpy at 0 K in kJ/mol of formula units: 72

Lattice parameters (Å, degrees): 3.6955 3.6955 9.0385 90.00 90.00 90.00
Space group P4mm (No. 99)
One atom of each set of equivalent atoms:
Ba 0.0000 0.0000 0.0000 (multiplicity 1)
Ba 0.5000 0.5000 0.4380 (multiplicity 1)
Ru 0.0000 0.0000 0.6855 (multiplicity 1)
Au 0.5000 0.5000 0.7701 (multiplicity 1)

=====

> Look up the E_tot of the third one.

-43.824 eV per atom

=====

> V of number 5 (BaRuAu4)?

485.9 Å³ per cell